Record 1
Pr4TeRuCl2: optimized geometry, PBE.

Results
Electronic total energy ... -44.3 eV per formula unit
Space-group type ... P2/m (10)

Cell lengths 7.4754, 4.1734, 7.9680 Å; angles 90.00, 108.25, 90.00 degrees
Element x y z (fractional)
Pr 0.2180 0.0000 0.2114
Pr 0.2352 0.5000 0.7876
Pr 0.7648 0.5000 0.2124
Pr 0.7820 0.0000 0.7886
Te 0.0000 0.0000 0.5000
Ru 0.0000 0.5000 0.0000
Cl 0.5000 0.0000 0.0000
Cl 0.5000 0.5000 0.5000

Record 2
HfBiS3: optimized geometry, PBE.

Results
Electronic total energy ... -23.0 eV per formula unit
Space-group type ... Pm-3m (221)
Energy above the lowest structure with this stoichiometry ... 1623 meV per atom

Cell lengths 5.1047, 5.1047, 5.1047 Å; angles 90.00, 90.00, 90.00 degrees
Element x y z (fractional)
Hf 0.0000 0.0000 0.0000
Bi 0.5000 0.5000 0.5000
S 0.0000 0.5000 0.5000
S 0.5000 0.0000 0.5000
S 0.5000 0.5000 0.0000

Theoretical density / Mg/m³: 6.071 6.038